Below is an optimized crystal structure of CdTcTe2O, with properties calculated at the GGA-PBE level.

```
CdTcTe2O
1.0
5.528 0.000 0.000
0.000 5.528 0.000
0.000 0.000 5.443
Cd Tc Te O
1 1 2 1
Direct
0.000 0.000 0.000
0.000 0.000 0.500
0.000 0.500 0.000
0.500 0.000 0.000
0.500 0.500 0.500
```

Output
SG	No. 123
total moment	2.3	Bohr magnetons per cell
volume	33.3	Å³/atom
mass density	4.81	g/cm³
energy	-14.56	eV/cell

---

Below is an optimized crystal structure of TiCdTcO6, with properties calculated at the GGA-PBE level.

```
TiCdTcO6
1.0
5.157 0.000 0.000
-2.579 4.466 0.000
0.000 0.000 9.733
Ti Cd Tc O
2 2 2 12
Direct
0.333 0.667 0.250
0.667 0.333 0.750
0.000 0.000 0.000
0.000 0.000 0.500
0.333 0.667 0.750
0.667 0.333 0.250
0.005 0.370 0.641
0.005 0.635 0.859
0.365 0.370 0.859
0.365 0.995 0.641
0.370 0.005 0.141
0.370 0.365 0.359
0.630 0.635 0.641
0.630 0.995 0.859
0.635 0.005 0.359
0.635 0.630 0.141
0.995 0.365 0.141
0.995 0.630 0.359
```

Output
SG	No. 163
total moment	2.0	Bohr magnetons per cell
volume	12.5	Å³/atom
mass density	5.25	g/cm³
energy	-129.93	eV/cell

---

Below is an optimized crystal structure of TiCd2TcO6, with properties calculated at the GGA-PBE level.

```
TiCd2TcO6
1.0
5.591 0.000 0.000
0.000 5.591 0.000
0.000 0.000 3.872
Ti Cd Tc O
1 2 1 6
Direct
0.000 0.000 0.000
0.000 0.500 0.441
0.500 0.000 0.441
0.500 0.500 0.015
0.000 0.000 0.518
0.249 0.249 0.028
0.249 0.751 0.028
0.500 0.500 0.516
0.751 0.249 0.028
0.751 0.751 0.028
```

Output
SG	No. 99
total moment	0.4	Bohr magnetons per cell
volume	12.1	Å³/atom
mass density	6.40	g/cm³
energy	-65.22	eV/cell

---

Below is an optimized crystal structure of TlCdTc2O8, with properties calculated at the GGA-PBE level.

```
TlCdTc2O8
1.0
4.704 -3.072 0.000
4.704 3.072 0.000
-0.434 0.000 8.169
Tl Cd Tc O
1 1 2 8
Direct
0.000 0.000 0.000
0.000 0.000 0.500
0.372 0.372 0.719
0.628 0.628 0.281
0.239 0.716 0.705
0.241 0.241 0.556
0.284 0.761 0.295
0.292 0.292 0.906
0.708 0.708 0.094
0.716 0.239 0.705
0.759 0.759 0.444
0.761 0.284 0.295
```

Output
SG	No. 12
total moment	0.5	Bohr magnetons per cell
volume	19.7	Å³/atom
mass density	4.51	g/cm³
energy	-79.13	eV/cell

---

Below is an optimized crystal structure of TlCdTcO4, with properties calculated at the GGA-PBE level.

```
TlCdTcO4
1.0
5.663 0.000 0.000
0.000 5.884 0.000
-0.804 0.000 8.793
Tl Cd Tc O
2 2 2 8
Direct
0.034 0.250 0.139
0.966 0.750 0.861
0.069 0.750 0.493
0.931 0.250 0.507
0.500 0.250 0.774
0.500 0.750 0.226
0.198 0.750 0.152
0.355 0.005 0.828
0.355 0.495 0.828
0.487 0.750 0.424
0.513 0.250 0.576
0.645 0.505 0.172
0.645 0.995 0.172
0.802 0.250 0.848
```

Output
SG	No. 11
total moment	0.0	Bohr magnetons per cell
volume	20.9	Å³/atom
mass density	5.43	g/cm³
energy	-81.80	eV/cell

---

Below is an optimized crystal structure of Tl2CdTcO4, with properties calculated at the GGA-PBE level.

```
Tl2CdTcO4
1.0
0.000 5.666 9.508
3.656 0.000 9.508
3.656 5.666 0.000
Tl Cd Tc O
4 2 2 8
Direct
0.069 0.069 0.681
0.319 0.319 0.931
0.681 0.681 0.069
0.931 0.931 0.319
0.125 0.125 0.125
0.875 0.875 0.875
0.375 0.375 0.375
0.625 0.625 0.625
0.085 0.569 0.477
0.370 0.477 0.569
0.431 0.915 0.630
0.477 0.370 0.085
0.523 0.630 0.915
0.569 0.085 0.370
0.630 0.523 0.431
0.915 0.431 0.523
```

Output
SG	No. 70
total moment	1.3	Bohr magnetons per cell
volume	24.6	Å³/atom
mass density	5.76	g/cm³
energy	-84.77	eV/cell

---

Below is an optimized crystal structure of TlCd2TcO6, with properties calculated at the GGA-PBE level.

```
TlCd2TcO6
1.0
5.634 0.000 0.000
0.000 5.720 0.000
-5.562 0.000 8.209
Tl Cd Tc O
2 4 2 12
Direct
0.000 0.000 0.000
0.000 0.500 0.500
0.243 0.041 0.744
0.243 0.459 0.244
0.757 0.541 0.756
0.757 0.959 0.256
0.500 0.000 0.500
0.500 0.500 0.000
0.163 0.077 0.274
0.163 0.423 0.774
0.251 0.662 0.049
0.251 0.838 0.549
0.423 0.210 0.074
0.423 0.290 0.574
0.577 0.710 0.426
0.577 0.790 0.926
0.749 0.162 0.451
0.749 0.338 0.951
0.837 0.577 0.226
0.837 0.923 0.726
```

Output
SG	No. 14
total moment	3.6	Bohr magnetons per cell
volume	13.2	Å³/atom
mass density	7.82	g/cm³
energy	-108.57	eV/cell

---

Below is an optimized crystal structure of Tl2CdTcO6, with properties calculated at the GGA-PBE level.

```
Tl2CdTcO6
1.0
6.374 0.000 0.000
-3.187 5.520 0.000
0.000 0.000 5.850
Tl Cd Tc O
2 1 1 6
Direct
0.333 0.667 0.471
0.667 0.333 0.529
0.000 0.000 0.000
0.000 0.000 0.500
0.140 0.279 0.305
0.140 0.860 0.305
0.279 0.140 0.695
0.721 0.860 0.305
0.860 0.140 0.695
0.860 0.721 0.695
```

Output
SG	No. 164
total moment	0.0	Bohr magnetons per cell
volume	20.6	Å³/atom
mass density	5.77	g/cm³
energy	-53.91	eV/cell

---

Below is an optimized crystal structure of TmCdTcO6, with properties calculated at the GGA-PBE level.

```
TmCdTcO6
1.0
5.446 0.000 0.000
-2.723 4.716 0.000
0.000 0.000 4.738
Tm Cd Tc O
1 1 1 6
Direct
0.000 0.000 0.000
0.667 0.333 0.500
0.333 0.667 0.000
0.046 0.374 0.226
0.046 0.672 0.774
0.328 0.374 0.774
0.328 0.954 0.226
0.626 0.672 0.226
0.626 0.954 0.774
```

Output
SG	No. 149
total moment	0.0	Bohr magnetons per cell
volume	13.5	Å³/atom
mass density	6.49	g/cm³
energy	-61.67	eV/cell

---

Below is an optimized crystal structure of TmCd2TcO6, with properties calculated at the GGA-PBE level.

```
TmCd2TcO6
1.0
5.679 0.000 0.000
0.000 5.679 0.000
0.000 0.000 4.560
Tm Cd Tc O
1 2 1 6
Direct
0.000 0.000 0.000
0.000 0.500 0.367
0.500 0.000 0.367
0.500 0.500 0.949
0.000 0.000 0.528
0.273 0.273 0.091
0.273 0.727 0.091
0.500 0.500 0.574
0.727 0.273 0.091
0.727 0.727 0.091
```

Output
SG	No. 99
total moment	0.0	Bohr magnetons per cell
volume	14.7	Å³/atom
mass density	6.64	g/cm³
energy	-62.54	eV/cell

---

Below is an optimized crystal structure of TmCdTc2O8, with properties calculated at the GGA-PBE level.

```
TmCdTc2O8
1.0
6.093 0.000 0.000
-3.047 5.277 0.000
0.000 0.000 7.717
Tm Cd Tc O
1 1 2 8
Direct
0.000 0.000 0.000
0.000 0.000 0.500
0.333 0.667 0.235
0.667 0.333 0.765
0.174 0.347 0.161
0.174 0.826 0.161
0.333 0.667 0.459
0.347 0.174 0.839
0.653 0.826 0.161
0.667 0.333 0.541
0.826 0.174 0.839
0.826 0.653 0.839
```

Output
SG	No. 164
total moment	0.0	Bohr magnetons per cell
volume	20.7	Å³/atom
mass density	4.05	g/cm³
energy	-86.08	eV/cell

---

Below is an optimized crystal structure of UCd2TcO8, with properties calculated at the GGA-PBE level.

```
UCd2TcO8
1.0
3.509 -3.621 0.000
3.509 3.621 0.000
0.000 0.000 6.564
U Cd Tc O
1 2 1 8
Direct
0.000 0.000 0.000
0.500 0.500 0.259
0.500 0.500 0.741
0.000 0.000 0.500
0.179 0.821 0.265
0.179 0.821 0.735
0.261 0.261 0.500
0.282 0.282 0.000
0.718 0.718 0.000
0.739 0.739 0.500
0.821 0.179 0.265
0.821 0.179 0.735
```

Output
SG	No. 65
total moment	1.0	Bohr magnetons per cell
volume	13.9	Å³/atom
mass density	6.86	g/cm³
energy	-84.83	eV/cell